A relaxed Ce2NdCr2C4 crystal. Source: Alexandria via LeMat-Bulk, functional PBE-GGA.

The space group is C2/m (No. 12) and the conventional cell measures 13.570, 3.440 and 6.039 Å, with angles of 90.00, 109.07 and 90.00 degrees. Symmetry generates all atoms from Ce at (0.135, 0.000, 0.039), Nd at (0.000, 0.000, 0.500), Cr at (0.184, 0.500, 0.503), C at (0.060, 0.500, 0.256) and C at (0.221, 0.000, 0.690).

The total energy comes out at -8.13 eV/atom. As for the magnetization: 0.00 μB/atom.